Record 1
## RbTiO2F (GGA-PBE)

Data for a relaxed structure of RbTiO2F.

Calculated values
The formation energy without anion corrections is 0.27 eV per atom. Its density of states at the Fermi level is 8.69 states/eV per cell. The space-group type is P4/mmm, No. 123.

a = 4.4237 Å, b = 4.4237 Å, c = 4.6698 Å
α = 90.00°, β = 90.00°, γ = 90.00°
Closest atoms and distances in Å follow each position.
Fractional coordinates of all 5 atoms:
F (0.0000, 0.0000, 0.5000)  2 Rb 2.33
O (0.0000, 0.5000, 0.0000)  2 Rb 2.21
O (0.5000, 0.0000, 0.0000)  2 Rb 2.21
Rb (0.0000, 0.0000, 0.0000)  4 O 2.21, 2 F 2.33
Ti (0.5000, 0.5000, 0.5000)  4 F 3.13, 8 O 3.22

Record 2
## GaCBr2O (GGA-PBE)

Data for a relaxed structure of GaCBr2O.

Calculated values
The formation energy without anion corrections is 1.26 eV per atom. Its density of states at the Fermi level is 5.20 states/eV per cell. The space-group type is P4/mmm, No. 123.

a = 6.1454 Å, b = 3.3403 Å, c = 6.1454 Å
α = 90.00°, β = 90.00°, γ = 90.00°
Closest atoms and distances in Å follow each position.
Fractional coordinates of all 5 atoms:
O (0.0000, 0.0000, 0.0000)  2 Ga 1.67
C (0.5000, 0.5000, 0.5000)  2 C 3.34, 8 Br 3.50
Ga (0.0000, 0.5000, 0.0000)  2 O 1.67
Br (0.0000, 0.0000, 0.5000)  2 O 3.07, 2 Br 3.34
Br (0.5000, 0.0000, 0.0000)  2 O 3.07, 2 Br 3.34

Record 3
## YTaOs2 (GGA-PBE)

Data for a relaxed structure of YTaOs2.

Calculated values
Its density of states at the Fermi level is 1.57 states/eV per cell. The space-group type is P4/mmm, No. 123. For the formation enthalpy at 0 K, the calculation gives -1.1 eV per formula unit.

a = 3.2128 Å, b = 3.2128 Å, c = 6.9961 Å
α = 90.00°, β = 90.00°, γ = 90.00°
Closest atoms and distances in Å follow each position.
Fractional coordinates of all 4 atoms:
Y (0.5000, 0.5000, 0.7500)  8 Os 3.01, 4 Y 3.21
Os (0.0000, 0.0000, 0.0326)  4 Ta 2.73, 4 Y 3.01, 1 Os 3.04
Os (0.0000, 0.0000, 0.4674)  4 Ta 2.73, 4 Y 3.01, 1 Os 3.04
Ta (0.5000, 0.5000, 0.2500)  8 Os 2.73

Record 4
## LiRh3S (GGA-PBE)

Data for a relaxed structure of LiRh3S.

Calculated values
The formation energy without anion corrections is 0.93 eV per atom. Its density of states at the Fermi level is 9.94 states/eV per cell. The space-group type is Pm-3m, No. 221.

a = 4.1629 Å, b = 4.1629 Å, c = 4.1629 Å
α = 90.00°, β = 90.00°, γ = 90.00°
Closest atoms and distances in Å follow each position.
Fractional coordinates of all 5 atoms:
S (0.5000, 0.5000, 0.5000)  12 Rh 2.94
Rh (0.0000, 0.5000, 0.0000)  2 Li 2.08
Rh (0.0000, 0.0000, 0.5000)  2 Li 2.08
Rh (0.5000, 0.0000, 0.0000)  2 Li 2.08
Li (0.0000, 0.0000, 0.0000)  6 Rh 2.08

Record 5
## Dy2Tl2Ag (GGA-PBE)

Data for a relaxed structure of Dy2Tl2Ag.

Calculated values
Its density of states at the Fermi level is 6.04 states/eV per cell. The space-group type is C2/m, No. 12. For the formation enthalpy at 0 K, the calculation gives -1.3 eV per formula unit.

a = 4.7649 Å, b = 6.1352 Å, c = 10.1185 Å
α = 91.17°, β = 76.38°, γ = 67.15°
Closest atoms and distances in Å follow each position.
Fractional coordinates of all 10 atoms:
Dy (0.6860, 0.2839, 0.3442)  7 Tl 3.21-3.49, 4 Ag 3.22-3.50
Dy (0.9252, 0.2435, 0.9062)  6 Tl 3.14-3.48, 2 Ag 3.39, 1 Dy 3.50
Dy (0.3140, 0.7161, 0.6558)  7 Tl 3.21-3.49, 4 Ag 3.22-3.50
Dy (0.0748, 0.7565, 0.0938)  6 Tl 3.14-3.48, 2 Ag 3.39, 1 Dy 3.50
Tl (0.0511, 0.3079, 0.5898)  2 Ag 2.80, 1 Tl 2.97
Tl (0.6667, 0.7904, 0.8761)  1 Ag 2.88, 5 Dy 3.14-3.22, 1 Tl 3.18
Tl (0.9489, 0.6921, 0.4102)  2 Ag 2.80, 1 Tl 2.97
Tl (0.3333, 0.2096, 0.1239)  1 Ag 2.88, 5 Dy 3.14-3.22, 1 Tl 3.18
Ag (0.6181, 0.0996, 0.6642)  3 Tl 2.80-2.88
Ag (0.3819, 0.9004, 0.3358)  3 Tl 2.80-2.88

Record 6
## Pm3Nd3Tl2In (GGA-PBE)

Data for a relaxed structure of Pm3Nd3Tl2In.

Calculated values
Its density of states at the Fermi level is 8.86 states/eV per cell. The space-group type is P-62m, No. 189. For the formation enthalpy at 0 K, the calculation gives -2.6 eV per formula unit.

a = 3.8489 Å, b = 9.1926 Å, c = 9.1926 Å
α = 120.00°, β = 90.00°, γ = 90.00°
Closest atoms and distances in Å follow each position.
Fractional coordinates of all 9 atoms:
Pm (0.5000, 0.7137, 0.0000)  2 In 3.26, 2 Tl 3.30, 2 Nd 3.59
Pm (0.5000, 0.0000, 0.7137)  2 In 3.26, 2 Tl 3.30, 2 Nd 3.59
Pm (0.5000, 0.2863, 0.2863)  2 In 3.26, 2 Tl 3.30, 2 Nd 3.59
Nd (0.0000, 0.6158, 0.6158)  4 Tl 3.45, 1 In 3.53, 6 Pm 3.59-3.72, 2 Nd 3.85
Nd (0.0000, 0.0000, 0.3842)  4 Tl 3.45, 1 In 3.53, 6 Pm 3.59-3.72, 2 Nd 3.85
Nd (0.0000, 0.3842, 0.0000)  4 Tl 3.45, 1 In 3.53, 6 Pm 3.59-3.72, 2 Nd 3.85
Tl (0.5000, 0.6667, 0.3333)  3 Pm 3.30, 6 Nd 3.45
Tl (0.5000, 0.3333, 0.6667)  3 Pm 3.30, 6 Nd 3.45
In (0.0000, 0.0000, 0.0000)  6 Pm 3.26, 3 Nd 3.53

Question: Which of these has the highest density of states at the Fermi level?
Answer: LiRh3S

Question: Look up the density of states at the Fermi level of the first one.
Answer: 8.69 states/eV per cell

Question: Which value of density of states at the Fermi level does entry 2 give?
Answer: 5.20 states/eV per cell

Question: Which of these has the highest density of states at the Fermi level?
Answer: LiRh3S